Record 1
Computed, not measured: a relaxed structure of Pr3CoHg at the PBE level of DFT.

space group = No. 11
E_form = -0.1941 eV/atom
polymorph energy (0 for the lowest one) = 0.000 eV per atom

a = 8.820 Å, b = 3.940 Å, c = 8.827 Å
α = 90.00°, β = 110.43°, γ = 90.00°
Sites, in units of the cell vectors:
Pr1 0.034 0.250 0.180
Pr2 0.238 0.750 0.547
Pr3 0.390 0.750 0.189
Pr4 0.610 0.250 0.811
Pr5 0.762 0.250 0.453
Pr6 0.966 0.750 0.820
Co1 0.426 0.250 0.442
Co2 0.574 0.750 0.558
Hg1 0.259 0.250 0.860
Hg2 0.741 0.750 0.140

=====

Record 2
Computed, not measured: a relaxed structure of Li3In6Ni at the PBE level of DFT.

space group = No. 148
E_form = -0.1309 eV/atom

a = 7.563 Å, b = 7.563 Å, c = 7.563 Å
α = 90.97°, β = 90.97°, γ = 90.97°
Sites, in units of the cell vectors:
Li1 0.207 0.754 0.385
Li2 0.246 0.615 0.793
Li3 0.385 0.207 0.754
Li4 0.615 0.793 0.246
Li5 0.754 0.385 0.207
Li6 0.793 0.246 0.615
In1 0.062 0.935 0.678
In2 0.065 0.322 0.938
In3 0.157 0.376 0.502
In4 0.322 0.938 0.065
In5 0.376 0.502 0.157
In6 0.498 0.843 0.624
In7 0.502 0.157 0.376
In8 0.624 0.498 0.843
In9 0.678 0.062 0.935
In10 0.843 0.624 0.498
In11 0.935 0.678 0.062
In12 0.938 0.065 0.322
Ni1 0.000 0.000 0.000
Ni2 0.500 0.500 0.500

=====

Record 3
Computed, not measured: a relaxed structure of TaTlSe at the PBE level of DFT.

space group = No. 216
polymorph energy (0 for the lowest one) = 0.789 eV per atom
ΔE_f (raw) = 672 meV/atom

a = 6.599 Å, b = 6.599 Å, c = 6.599 Å
α = 90.00°, β = 90.00°, γ = 90.00°
Sites, in units of the cell vectors:
Ta1 0.000 0.000 0.000
Ta2 0.000 0.500 0.500
Ta3 0.500 0.000 0.500
Ta4 0.500 0.500 0.000
Tl1 0.250 0.250 0.250
Tl2 0.250 0.750 0.750
Tl3 0.750 0.250 0.750
Tl4 0.750 0.750 0.250
Se1 0.250 0.250 0.750
Se2 0.250 0.750 0.250
Se3 0.750 0.250 0.250
Se4 0.750 0.750 0.750